{"formula": "TiWC2", "functional": "meta-GGA SCAN", "state": "single point on PBEsol structure", "magnetic_moment_mub_per_cell": 0.00, "ef_ev_per_atom": -0.424, "energy_ry_per_atom": -1.9773, "sg": "R-3m", "lattice_angstrom": [[1.522, 0.879, 5.006], [-1.522, 0.879, 5.006], [0.000, -1.757, 5.006]], "species": ["Ti", "W", "C", "C"], "fractional_positions": [[0.000, 0.000, 0.000], [0.500, 0.500, 0.500], [0.251, 0.251, 0.251], [0.749, 0.749, 0.749]]}